# 1
GdZrSn2 | the Alexandria database | PBE-GGA | relaxed; ΔH_f (0 K) = -0.374 eV per atom
1.0
-0.0126 3.2008 1.1702
-2.7816 1.9357 -0.3616
-4.3604 -1.5535 9.1647
Gd Sn Zr
1 2 1
direct
0.5000 0.5000 0.5000
0.7457 0.7457 0.7629
0.2543 0.2543 0.2371
0.0000 0.0000 0.0000

=====

# 2
GdZrSn2 | the Alexandria database | PBE-GGA | relaxed; ΔH_f (0 K) = -0.465 eV per atom
1.0
4.4077 0.0000 0.0000
0.0000 4.7145 0.0000
0.0000 0.0000 4.7145
Gd Sn Zr
1 2 1
direct
0.5000 0.5000 0.5000
0.0000 0.0000 0.5000
0.0000 0.5000 0.0000
0.5000 0.0000 0.0000

=====

# 3
GdZrSn | the Alexandria database | PBE-GGA | relaxed; ΔH_f (0 K) = -0.202 eV per atom; excess energy over the best structure of this formula in the dataset = 0.155 eV per atom
1.0
-0.6821 -3.2415 0.9590
0.2146 -1.4972 -4.9082
4.2487 -0.0404 2.8853
Gd Sn Zr
1 1 1
direct
0.6758 0.3333 0.6667
0.1148 0.0000 0.0000
0.2094 0.6667 0.3333

=====

# 4
GdZrSn2 | the Alexandria database | PBE-GGA | relaxed; ΔH_f (0 K) = -0.501 eV per atom
1.0
-1.0442 1.9155 3.2241
-0.7135 -3.3871 1.7813
6.2478 -0.1920 2.1376
Gd Sn Zr
1 2 1
direct
0.5000 0.5000 0.5000
0.0000 0.0000 0.7750
0.0000 0.0000 0.2250
0.5000 0.5000 0.0000

=====

# 5
GdZrSn | the Alexandria database | PBE-GGA | relaxed; ΔH_f (0 K) = -0.357 eV per atom; excess energy over the best structure of this formula in the dataset = 0.000 eV per atom
1.0
3.9168 0.0000 0.0000
0.0000 3.9168 0.0000
-1.9584 -1.9584 4.9147
Gd Sn Zr
1 1 1
direct
0.9554 0.9554 0.9109
0.6262 0.6262 0.2523
0.2684 0.2684 0.5368

=====

# 6
Sr3Gd | the Alexandria database | PBE-GGA | relaxed; ΔH_f (0 K) = 0.148 eV per atom; excess energy over the best structure of this formula in the dataset = 0.000 eV per atom
1.0
4.0741 0.0000 0.0000
0.0000 7.0319 0.0000
-2.0370 -3.5160 6.6732
Sr Gd
3 1
direct
0.2600 0.6004 0.5201
0.5000 0.4932 0.0000
0.7400 0.0804 0.4799
0.0000 0.9927 0.0000

=====

# 7
Sr3Gd | the Alexandria database | PBE-GGA | relaxed; ΔH_f (0 K) = 0.156 eV per atom; excess energy over the best structure of this formula in the dataset = 0.008 eV per atom
1.0
4.0516 0.0000 0.0000
0.0000 6.6404 0.0000
0.0000 0.0000 7.1101
Sr Gd
3 1
direct
0.5000 0.0000 0.5020
0.5000 0.5000 0.8401
0.0000 0.5000 0.3238
0.0000 0.0000 0.0008

=====

# 8
Sr3Gd | the Alexandria database | PBE-GGA | relaxed; ΔH_f (0 K) = 0.169 eV per atom; excess energy over the best structure of this formula in the dataset = 0.021 eV per atom
1.0
-5.0217 -3.2354 2.3683
-3.3362 -3.9766 -3.7884
0.3940 -6.3543 0.8728
Sr Gd
3 1
direct
0.0000 0.0000 0.0000
0.7500 0.7500 0.7500
0.2500 0.2500 0.2500
0.5000 0.5000 0.5000